(1)
LaPtBr2 after structural relaxation, computed with PBE.

Properties
formation energy (no corrections)	-1095	meV per atom
mass density	6.1	g/cm3
energy above the most stable polymorph in this dataset	0.0000	eV/atom
M_tot	0.000	μB/f.u.

Cell lengths 15.0196, 3.9872, 4.5357 Å; angles 90.00, 93.95, 90.00 degrees
Space group C2/m (No. 12)
Unique sites:
La (0.0000, 0.0000, 0.0000) (multiplicity 2)
Pt (0.0000, 0.5000, 0.5000) (multiplicity 2)
Br (0.1467, 0.5000, 0.7780) (multiplicity 4)

=====

(2)
RbLaPt2Br after structural relaxation, computed with PBE.

Properties
formation energy (no corrections)	1128	meV per atom
mass density	7.2	g/cm3
M_tot	0.000	μB/f.u.

Cell lengths 5.0878, 5.0878, 6.1672 Å; angles 90.00, 90.00, 90.00 degrees
Space group P4/mmm (No. 123)
Unique sites:
Rb (0.0000, 0.0000, 0.0000) (multiplicity 1)
La (0.0000, 0.0000, 0.5000) (multiplicity 1)
Pt (0.0000, 0.5000, 0.0000) (multiplicity 2)
Br (0.5000, 0.5000, 0.5000) (multiplicity 1)

=====

(3)
Rb2LaPtBr6 after structural relaxation, computed with PBE.

Properties
formation energy (no corrections)	-1306	meV per atom
mass density	4.4	g/cm3
M_tot	1.000	μB/f.u.

Cell lengths 8.2617, 8.2617, 10.8899 Å; angles 90.00, 90.00, 90.00 degrees
Space group I4/mmm (No. 139)
Unique sites:
Rb (0.0000, 0.5000, 0.2500) (multiplicity 4)
La (0.0000, 0.0000, 0.0000) (multiplicity 2)
Pt (0.0000, 0.0000, 0.5000) (multiplicity 2)
Br (0.0000, 0.0000, 0.2681) (multiplicity 4)
Br (0.2499, 0.2499, 0.0000) (multiplicity 8)

=====

(4)
La6Pt3Rh2Br after structural relaxation, computed with PBE.

Properties
formation energy (no corrections)	-1053	meV per atom
mass density	8.6	g/cm3
M_tot	0.000	μB/f.u.

Cell lengths 18.4483, 4.2120, 8.7089 Å; angles 90.00, 102.56, 90.00 degrees
Space group C2/m (No. 12)
Unique sites:
La (0.0095, 0.0000, 0.2761) (multiplicity 4)
La (0.1680, 0.5000, 0.5801) (multiplicity 4)
La (0.1789, 0.5000, 0.0983) (multiplicity 4)
Pt (0.0000, 0.5000, 0.5000) (multiplicity 2)
Pt (0.1585, 0.0000, 0.8347) (multiplicity 4)
Rh (0.1662, 0.0000, 0.3311) (multiplicity 4)
Br (0.0000, 0.5000, 0.0000) (multiplicity 2)